A relaxed structure of PmCoSe2O8, computed with PBE+U.

Properties
Fermi-level density of states ... 3.7 states/eV per cell
Symmetry ... No. 164
Total DFT energy (no corrections) ... -5.800 eV per atom
M_tot ... 0.00 μB per cell
Theoretical density ... 4.59 Mg/m³

a = 5.656 Å, b = 5.656 Å, c = 6.396 Å
α = 90.00°, β = 90.00°, γ = 120.00°
Fractional positions:
Pm1 0.000 0.000 0.000
Co1 0.000 0.000 0.500
Se1 0.333 0.667 0.274
Se2 0.667 0.333 0.726
O1 0.147 0.294 0.303
O2 0.147 0.853 0.303
O3 0.294 0.147 0.697
O4 0.333 0.667 0.013
O5 0.667 0.333 0.987
O6 0.706 0.853 0.303
O7 0.853 0.147 0.697
O8 0.853 0.706 0.697